First-principles (PBE) data for a relaxed structure of CsKAg, as listed in OQMD via LeMat-Bulk.

Calculated values
- ρ (g cm⁻³) = 2.783
- energy relative to the lowest polymorph listed for this composition (eV/atom) = 0.217
- raw total energy (eV per formula unit) = -3.861

a = 8.7419 Å, b = 8.7419 Å, c = 8.7419 Å
α = 90.00°, β = 90.00°, γ = 90.00°
Space group F-43m (No. 216)
Inequivalent atoms, fractional coordinates:
Cs 0.0000 0.0000 0.0000 x4
K 0.2500 0.2500 0.2500 x4
Ag 0.2500 0.2500 0.7500 x4